[1]
Density functional theory data (PBE-GGA) for a relaxed structure of Ba3Hg7Pt4.

Lattice parameters (Å, degrees): 4.739 9.180 9.445 68.77 75.47 75.04
Sites, in units of the cell vectors:
1 Ba 0.000 0.500 0.500
2 Ba 0.692 0.814 0.802
3 Ba 0.308 0.186 0.198
4 Hg 0.496 0.230 0.778
5 Hg 0.163 0.601 0.073
6 Hg 0.317 0.840 0.526
7 Hg 0.837 0.399 0.927
8 Hg 0.683 0.160 0.474
9 Hg 0.000 0.000 0.000
10 Hg 0.504 0.770 0.222
11 Pt 0.340 0.550 0.769
12 Pt 0.116 0.093 0.675
13 Pt 0.660 0.450 0.231
14 Pt 0.884 0.907 0.325

Calculated values
spin magnetization = 0.0 μB per formula unit
uncorrected energy = -0.1004 hartree per atom
mass density = 11.8 Mg/m³
calculated formation energy = -597 kJ/mol of formula units



[2]
Density functional theory data (PBE-GGA) for a relaxed structure of Ba2Hg5Pt.

Lattice parameters (Å, degrees): 4.858 9.787 10.463 90.00 90.00 104.37
Sites, in units of the cell vectors:
1 Hg 0.195 0.391 0.609
2 Hg 0.358 0.717 0.977
3 Hg 0.195 0.391 0.891
4 Hg 0.582 0.164 0.750
5 Hg 0.805 0.609 0.391
6 Hg 0.642 0.283 0.023
7 Hg 0.418 0.836 0.250
8 Hg 0.805 0.609 0.109
9 Hg 0.642 0.283 0.477
10 Hg 0.358 0.717 0.523
11 Pt 0.564 0.129 0.250
12 Pt 0.436 0.871 0.750
13 Ba 0.811 0.622 0.750
14 Ba 0.189 0.378 0.250
15 Ba 0.000 0.000 0.000
16 Ba 0.000 0.000 0.500

Calculated values
spin magnetization = 0.0 μB per formula unit
uncorrected energy = -0.0681 hartree per atom
mass density = 10.1 Mg/m³
calculated formation energy = -330 kJ/mol of formula units



[3]
Density functional theory data (PBE-GGA) for a relaxed structure of Ba2HgPt.

Lattice parameters (Å, degrees): 8.764 8.764 7.421 53.81 53.81 90.00
Sites, in units of the cell vectors:
1 Hg 0.000 0.000 0.000
2 Hg 0.750 0.250 0.500
3 Ba 0.165 0.625 0.250
4 Ba 0.585 0.125 0.250
5 Ba 0.875 0.835 0.750
6 Ba 0.375 0.415 0.750
7 Pt 0.250 0.750 0.500
8 Pt 0.500 0.500 0.000

Calculated values
spin magnetization = 0.0 μB per formula unit
uncorrected energy = -0.1074 hartree per atom
mass density = 7.1 Mg/m³
calculated formation energy = -145 kJ/mol of formula units



[4]
Density functional theory data (PBE-GGA) for a relaxed structure of Ba4HgPt.

Lattice parameters (Å, degrees): 6.973 6.973 6.973 60.00 60.00 60.00
Sites, in units of the cell vectors:
1 Hg 0.750 0.750 0.750
2 Ba 0.374 0.374 0.374
3 Ba 0.374 0.878 0.374
4 Ba 0.878 0.374 0.374
5 Ba 0.374 0.374 0.878
6 Pt 0.000 0.000 0.000

Calculated values
spin magnetization = 0.0 μB per formula unit
energy above the lowest structure with this stoichiometry = 935 meV/atom
uncorrected energy = -0.0686 hartree per atom
mass density = 6.5 Mg/m³
calculated formation energy = 273 kJ/mol of formula units



[5]
Density functional theory data (PBE-GGA) for a relaxed structure of Ba2HgPt.

Lattice parameters (Å, degrees): 4.599 4.599 8.873 74.98 74.98 60.03
Sites, in units of the cell vectors:
1 Pt 0.250 0.250 0.250
2 Ba 0.985 0.985 0.046
3 Ba 0.515 0.515 0.454
4 Hg 0.750 0.750 0.750

Calculated values
spin magnetization = 0.0 μB per formula unit
uncorrected energy = -0.1157 hartree per atom
mass density = 7.2 Mg/m³
calculated formation energy = -232 kJ/mol of formula units



[6]
Density functional theory data (PBE-GGA) for a relaxed structure of Ba6Hg5Pt.

Lattice parameters (Å, degrees): 5.857 8.267 10.158 114.01 106.76 90.00
Sites, in units of the cell vectors:
1 Pt 0.000 0.000 0.000
2 Ba 0.158 0.398 0.316
3 Ba 0.842 0.602 0.684
4 Ba 0.158 0.918 0.316
5 Ba 0.500 0.766 0.000
6 Ba 0.500 0.234 0.000
7 Ba 0.842 0.082 0.684
8 Hg 0.333 0.333 0.667
9 Hg 0.681 0.181 0.362
10 Hg 0.000 0.500 0.000
11 Hg 0.667 0.667 0.333
12 Hg 0.319 0.819 0.638

Calculated values
spin magnetization = 0.0 μB per formula unit
uncorrected energy = -0.0779 hartree per atom
mass density = 7.9 Mg/m³
calculated formation energy = -614 kJ/mol of formula units



[7]
Density functional theory data (PBE-GGA) for a relaxed structure of Ba2HgPt.

Lattice parameters (Å, degrees): 4.477 8.266 8.109 90.00 106.02 90.00
Sites, in units of the cell vectors:
1 Ba 0.363 0.999 0.726
2 Ba 0.363 0.501 0.726
3 Ba 0.637 0.499 0.274
4 Ba 0.637 0.001 0.274
5 Hg 0.007 0.750 0.014
6 Hg 0.993 0.250 0.986
7 Pt 0.197 0.750 0.394
8 Pt 0.803 0.250 0.606

Calculated values
spin magnetization = 0.0 μB per formula unit
uncorrected energy = -0.1166 hartree per atom
mass density = 7.7 Mg/m³
calculated formation energy = -242 kJ/mol of formula units



[8]
Density functional theory data (PBE-GGA) for a relaxed structure of Ba2Hg3Pt2.

Lattice parameters (Å, degrees): 4.659 6.368 7.546 91.88 90.00 111.46
Sites, in units of the cell vectors:
1 Hg 0.000 0.000 0.000
2 Hg 0.349 0.699 0.818
3 Hg 0.651 0.301 0.182
4 Ba 0.640 0.279 0.679
5 Ba 0.360 0.721 0.321
6 Pt 0.938 0.875 0.640
7 Pt 0.062 0.125 0.360

Calculated values
spin magnetization = 0.0 μB per formula unit
energy above the lowest structure with this stoichiometry = 0 meV/atom
uncorrected energy = -0.1077 hartree per atom
mass density = 10.1 Mg/m³
calculated formation energy = -355 kJ/mol of formula units



[9]
Density functional theory data (PBE-GGA) for a relaxed structure of Ba2HgPt.

Lattice parameters (Å, degrees): 5.476 5.476 5.476 60.00 60.00 60.00
Sites, in units of the cell vectors:
1 Ba 0.000 0.000 0.000
2 Ba 0.250 0.250 0.250
3 Hg 0.500 0.500 0.500
4 Pt 0.750 0.750 0.750

Calculated values
spin magnetization = 0.0 μB per formula unit
uncorrected energy = -0.1041 hartree per atom
mass density = 9.6 Mg/m³
calculated formation energy = -111 kJ/mol of formula units



[10]
Density functional theory data (PBE-GGA) for a relaxed structure of Ba3HgPt.

Lattice parameters (Å, degrees): 6.188 6.188 6.188 90.00 90.00 90.00
Sites, in units of the cell vectors:
1 Ba 0.500 0.000 0.000
2 Ba 0.000 0.500 0.000
3 Ba 0.000 0.000 0.500
4 Pt 0.000 0.000 0.000
5 Hg 0.500 0.500 0.500

Calculated values
spin magnetization = 0.0 μB per formula unit
energy above the lowest structure with this stoichiometry = 87 meV/atom
uncorrected energy = -0.1057 hartree per atom
mass density = 5.7 Mg/m³
calculated formation energy = -220 kJ/mol of formula units



[11]
Density functional theory data (PBE-GGA) for a relaxed structure of Ba14Hg6Pt3.

Lattice parameters (Å, degrees): 8.351 11.902 11.902 120.00 90.00 90.00
Sites, in units of the cell vectors:
1 Hg 0.274 0.290 0.146
2 Hg 0.793 0.483 0.518
3 Hg 0.793 0.482 0.964
4 Hg 0.274 0.856 0.710
5 Hg 0.274 0.854 0.144
6 Hg 0.793 0.036 0.517
7 Ba 0.210 0.539 0.462
8 Ba 0.513 0.581 0.791
9 Ba 0.210 0.538 0.077
10 Ba 0.664 0.790 0.579
11 Ba 0.453 0.000 0.000
12 Ba 0.004 0.125 0.875
13 Ba 0.664 0.421 0.211
14 Ba 0.513 0.210 0.419
15 Ba 0.959 0.333 0.667
16 Ba 0.664 0.789 0.210
17 Ba 0.004 0.125 0.250
18 Ba 0.513 0.209 0.790
19 Ba 0.210 0.923 0.461
20 Ba 0.004 0.750 0.875
21 Pt 0.315 0.333 0.667
22 Pt 0.809 0.000 0.000
23 Pt 0.432 0.667 0.333

Calculated values
spin magnetization = 0.0 μB per formula unit
uncorrected energy = -0.0909 hartree per atom
mass density = 6.0 Mg/m³
calculated formation energy = -969 kJ/mol of formula units



[12]
Density functional theory data (PBE-GGA) for a relaxed structure of Ba5HgPt2.

Lattice parameters (Å, degrees): 8.743 8.743 10.156 115.49 115.49 90.00
Sites, in units of the cell vectors:
1 Hg 0.250 0.250 0.500
2 Hg 0.750 0.750 0.500
3 Pt 0.635 0.135 0.000
4 Pt 0.135 0.365 0.000
5 Pt 0.365 0.865 0.000
6 Pt 0.865 0.635 0.000
7 Ba 0.467 0.295 0.262
8 Ba 0.705 0.205 0.738
9 Ba 0.295 0.795 0.262
10 Ba 0.795 0.967 0.262
11 Ba 0.967 0.467 0.262
12 Ba 0.205 0.033 0.738
13 Ba 0.000 0.000 0.000
14 Ba 0.533 0.705 0.738
15 Ba 0.033 0.533 0.738
16 Ba 0.500 0.500 0.000

Calculated values
spin magnetization = 0.0 μB per formula unit
uncorrected energy = -0.1224 hartree per atom
mass density = 6.9 Mg/m³
calculated formation energy = -449 kJ/mol of formula units



[13]
Density functional theory data (PBE-GGA) for a relaxed structure of BaHgPt2.

Lattice parameters (Å, degrees): 5.331 5.331 3.237 89.99 89.99 90.00
Sites, in units of the cell vectors:
1 Pt 0.000 0.000 0.000
2 Pt 0.500 0.500 0.000
3 Hg 0.000 0.500 0.500
4 Ba 0.500 0.000 0.500

Calculated values
spin magnetization = 0.0 μB per formula unit
uncorrected energy = -0.1345 hartree per atom
mass density = 13.1 Mg/m³
calculated formation energy = -32 kJ/mol of formula units



[14]
Density functional theory data (PBE-GGA) for a relaxed structure of BaHgPt2.

Lattice parameters (Å, degrees): 4.838 4.838 3.998 90.00 90.00 98.09
Sites, in units of the cell vectors:
1 Ba 0.500 0.000 0.500
2 Hg 0.000 0.500 0.500
3 Pt 0.000 0.000 0.000
4 Pt 0.500 0.500 0.000

Calculated values
spin magnetization = 0.0 μB per formula unit
uncorrected energy = -0.1362 hartree per atom
mass density = 13.0 Mg/m³
calculated formation energy = -50 kJ/mol of formula units



[15]
Density functional theory data (PBE-GGA) for a relaxed structure of Ba4HgPt.

Lattice parameters (Å, degrees): 7.918 8.355 9.735 72.55 66.05 90.01
Sites, in units of the cell vectors:
1 Ba 0.335 0.011 0.207
2 Ba 0.457 0.511 0.208
3 Ba 0.209 0.150 0.678
4 Ba 0.113 0.650 0.678
5 Ba 0.665 0.989 0.793
6 Ba 0.791 0.850 0.322
7 Ba 0.887 0.350 0.322
8 Ba 0.543 0.489 0.792
9 Pt 0.500 0.500 0.500
10 Pt 0.000 0.000 0.500
11 Hg 0.207 0.750 0.000
12 Hg 0.793 0.250 0.000

Calculated values
spin magnetization = 0.0 μB per formula unit
energy above the lowest structure with this stoichiometry = 40 meV/atom
uncorrected energy = -0.1015 hartree per atom
mass density = 5.6 Mg/m³
calculated formation energy = -245 kJ/mol of formula units



[16]
Density functional theory data (PBE-GGA) for a relaxed structure of Ba2HgPt.

Lattice parameters (Å, degrees): 8.601 8.601 8.601 32.89 32.89 32.89
Sites, in units of the cell vectors:
1 Pt 0.792 0.792 0.792
2 Ba 0.208 0.208 0.208
3 Ba 0.042 0.042 0.042
4 Hg 0.458 0.458 0.458

Calculated values
spin magnetization = 0.0 μB per formula unit
uncorrected energy = -0.1131 hartree per atom
mass density = 6.7 Mg/m³
calculated formation energy = -204 kJ/mol of formula units



[17]
Density functional theory data (PBE-GGA) for a relaxed structure of Ba3HgPt.

Lattice parameters (Å, degrees): 8.579 8.652 14.428 107.01 90.00 119.72
Sites, in units of the cell vectors:
1 Ba 0.593 0.293 0.816
2 Ba 0.117 0.339 0.869
3 Ba 0.685 0.867 0.936
4 Ba 0.700 0.293 0.316
5 Ba 0.819 0.133 0.564
6 Ba 0.300 0.707 0.684
7 Ba 0.407 0.707 0.184
8 Ba 0.222 0.339 0.369
9 Ba 0.181 0.867 0.436
10 Ba 0.883 0.661 0.131
11 Ba 0.315 0.133 0.064
12 Ba 0.778 0.661 0.631
13 Hg 0.696 0.713 0.367
14 Hg 0.018 0.713 0.867
15 Hg 0.982 0.287 0.133
16 Hg 0.304 0.287 0.633
17 Pt 0.277 0.000 0.250
18 Pt 0.000 0.500 0.500
19 Pt 0.723 0.000 0.750
20 Pt 0.500 0.500 0.000

Calculated values
spin magnetization = 0.0 μB per formula unit
energy above the lowest structure with this stoichiometry = 0 meV/atom
uncorrected energy = -0.1090 hartree per atom
mass density = 6.1 Mg/m³
calculated formation energy = -262 kJ/mol of formula units



[18]
Density functional theory data (PBE-GGA) for a relaxed structure of Ba4HgPt3.

Lattice parameters (Å, degrees): 4.516 4.794 12.014 90.00 90.00 90.00
Sites, in units of the cell vectors:
1 Ba 0.500 0.500 0.376
2 Ba 0.000 0.000 0.146
3 Ba 0.000 0.500 0.845
4 Ba 0.500 0.000 0.634
5 Pt 0.000 0.500 0.577
6 Pt 0.000 0.000 0.424
7 Pt 0.500 0.000 0.930
8 Hg 0.500 0.500 0.067

Calculated values
spin magnetization = 0.0 μB per formula unit
uncorrected energy = -0.1443 hartree per atom
mass density = 8.5 Mg/m³
calculated formation energy = -510 kJ/mol of formula units



[19]
Density functional theory data (PBE-GGA) for a relaxed structure of BaHg2Pt2.

Lattice parameters (Å, degrees): 4.587 4.587 6.809 70.32 70.32 90.00
Sites, in units of the cell vectors:
1 Hg 0.250 0.750 0.500
2 Hg 0.750 0.250 0.500
3 Pt 0.392 0.392 0.216
4 Pt 0.608 0.608 0.784
5 Ba 0.000 0.000 0.000

Calculated values
spin magnetization = 0.0 μB per formula unit
energy above the lowest structure with this stoichiometry = 0 meV/atom
uncorrected energy = -0.1238 hartree per atom
mass density = 12.2 Mg/m³
calculated formation energy = -216 kJ/mol of formula units



[20]
Density functional theory data (PBE-GGA) for a relaxed structure of BaHgPt2.

Lattice parameters (Å, degrees): 5.402 5.402 5.402 128.96 128.96 75.07
Sites, in units of the cell vectors:
1 Ba 0.250 0.750 0.500
2 Hg 0.750 0.250 0.500
3 Pt 0.000 0.000 0.000
4 Pt 0.500 0.500 0.000

Calculated values
spin magnetization = 0.0 μB per formula unit
uncorrected energy = -0.1360 hartree per atom
mass density = 13.0 Mg/m³
calculated formation energy = -48 kJ/mol of formula units